Record 1
Computed, not measured: an optimized crystal structure of Th5Hg2Rh at the PBE level of DFT.

Geometry as POSCAR:
```
Th5Hg2Rh
1.0
5.924 0.000 0.000
-2.962 6.476 0.000
0.000 0.000 12.179
Th Hg Rh
10 4 2
Cartesian
2.962 1.284 3.045 Th
0.000 0.969 4.768 Th
0.000 0.969 1.322 Th
2.962 1.554 11.415 Th
0.000 4.922 0.763 Th
2.962 5.507 10.857 Th
0.000 4.922 5.326 Th
2.962 5.507 7.411 Th
2.962 1.554 6.853 Th
0.000 5.192 9.134 Th
0.000 2.446 7.649 Hg
2.962 4.030 1.560 Hg
2.962 4.030 4.530 Hg
0.000 2.446 10.619 Hg
2.962 3.124 9.134 Rh
0.000 3.352 3.045 Rh
```


Record 2
Computed, not measured: an optimized crystal structure of ThHgRh2 at the PBE level of DFT.

Geometry as POSCAR:
```
ThHgRh2
1.0
-1.170 -3.581 0.658
1.016 -1.114 -4.254
4.175 -1.127 1.292
Rh Th Hg
2 1 1
Cartesian
0.508 -0.557 -2.127 Rh
2.087 -0.563 0.646 Rh
-0.585 -1.790 0.329 Th
2.010 -2.911 -1.152 Hg
```


Record 3
Computed, not measured: an optimized crystal structure of Th2HgRh at the PBE level of DFT.

ΔE to the lowest computed polymorph   0 meV per atom

Geometry as POSCAR:
```
Th2HgRh
1.0
4.056 0.001 -0.002
-2.026 3.514 0.002
-2.021 -1.177 8.016
Rh Th Hg
1 2 1
Cartesian
0.009 2.339 8.016 Rh
0.007 -0.004 6.384 Th
0.003 2.343 1.632 Th
2.033 1.170 4.007 Hg
```


Record 4
Computed, not measured: an optimized crystal structure of Th2HgRh at the PBE level of DFT.

ΔE to the lowest computed polymorph   22 meV per atom

Geometry as POSCAR:
```
Th2HgRh
1.0
4.085 0.000 0.000
2.043 3.538 0.000
2.043 1.179 7.933
Th Hg Rh
2 1 1
Cartesian
2.043 1.179 6.318 Th
2.043 1.179 1.610 Th
4.085 2.359 3.990 Hg
6.128 3.538 7.914 Rh
```


Record 5
Computed, not measured: an optimized crystal structure of Th6Hg3Rh at the PBE level of DFT.

Geometry as POSCAR:
```
Th6Hg3Rh
1.0
8.385 0.578 0.591
0.396 8.396 0.591
0.396 0.404 8.407
Th Hg Rh
12 6 2
Cartesian
7.325 4.741 4.849 Th
6.879 7.029 1.915 Th
4.594 1.952 4.741 Th
4.582 7.426 4.847 Th
4.596 4.695 2.057 Th
2.298 7.620 2.518 Th
7.568 2.462 2.519 Th
6.878 1.759 7.071 Th
1.852 4.637 4.740 Th
2.298 2.349 7.674 Th
4.581 4.683 7.531 Th
1.609 6.916 7.070 Th
4.387 1.432 1.464 Hg
7.840 4.961 8.124 Hg
4.790 7.946 8.124 Hg
1.337 1.366 4.448 Hg
1.337 4.417 1.465 Hg
7.840 8.012 5.140 Hg
4.588 4.689 4.794 Rh
0.000 0.000 0.000 Rh
```


Record 6
Computed, not measured: an optimized crystal structure of ThHgRh at the PBE level of DFT.

Geometry as POSCAR:
```
ThHgRh
1.0
3.764 0.000 0.000
0.000 3.764 0.000
-1.882 -1.882 5.000
Th Hg Rh
1 1 1
Cartesian
1.882 1.882 0.933 Th
0.000 0.000 2.856 Hg
1.882 1.882 4.711 Rh
```


Record 7
Computed, not measured: an optimized crystal structure of ThHgRh at the PBE level of DFT.

Geometry as POSCAR:
```
ThHgRh
1.0
-1.584 -1.324 -3.500
3.512 -0.999 -1.212
-2.843 -7.659 4.183
Rh Th Hg
2 2 2
Cartesian
-2.149 -8.209 0.539 Rh
1.235 -1.772 -1.068 Rh
-1.393 -2.527 -1.952 Th
0.478 -7.454 1.423 Th
-1.811 -5.672 -0.573 Hg
0.897 -4.309 0.044 Hg
```


Record 8
Computed, not measured: an optimized crystal structure of Th2HgRh at the PBE level of DFT.

ΔE to the lowest computed polymorph   45 meV per atom

Geometry as POSCAR:
```
Th2HgRh
1.0
3.583 0.000 0.000
0.000 3.583 0.000
0.000 0.000 7.937
Th Hg Rh
2 1 1
Cartesian
0.000 0.000 1.712 Th
0.000 0.000 6.225 Th
1.791 1.791 3.968 Hg
1.791 1.791 0.000 Rh
```


Number 1: calculated volume 29.2 A^3/atom, M_tot 0.00 μB/f.u., E -5.6979 eV/atom. Number 2: calculated volume 19.5 A^3/atom, M_tot 0.00 μB/f.u., E -6.2555 eV/atom. Number 3: calculated volume 28.6 A^3/atom, M_tot 0.00 μB/f.u., E -6.1457 eV/atom. Number 4: calculated volume 28.7 A^3/atom, M_tot 0.00 μB/f.u., E -6.1233 eV/atom. Number 5: calculated volume 29.3 A^3/atom, M_tot 0.00 μB/f.u., E -5.4064 eV/atom. Number 6: calculated volume 23.6 A^3/atom, M_tot 0.00 μB/f.u., E -5.4704 eV/atom. Number 7: calculated volume 23.4 A^3/atom, M_tot 0.00 μB/f.u., E -5.7293 eV/atom. Number 8: calculated volume 25.5 A^3/atom, M_tot 0.00 μB/f.u., E -6.1004 eV/atom.